# ScTiI2N (PBE, optimized geometry)
# Energy relative to the lowest polymorph listed for this composition, kJ per mole of atoms: 28.6
# Calculated volume, Å³/f.u.: 133.5
data_ScTiI2N
_chemical_formula_sum 'Sc1 Ti1 I2 N1'
_space_group_name_H-M_alt 'P 4/m m m'
_space_group_IT_number 123
_space_group_name_Hall '-P 4 2'
_cell_length_a 5.868
_cell_length_b 5.868
_cell_length_c 3.876
_cell_angle_alpha 90.00
_cell_angle_beta 90.00
_cell_angle_gamma 90.00
loop_
_atom_site_label
_atom_site_type_symbol
_atom_site_fract_x
_atom_site_fract_y
_atom_site_fract_z
_atom_site_occupancy
Sc1 Sc 0.000 0.000 0.000 1
Ti1 Ti 0.500 0.500 0.500 1
I1 I 0.000 0.500 0.000 1
N1 N 0.000 0.000 0.500 1